--- a ---
# SiW2Br

A geometry-optimized SiW2Br structure (GGA-PBEsol, Alexandria via LeMat-Bulk).

POSCAR file:
```
SiW2Br
1.0
4.0810 0.0000 0.0000
0.0000 4.0810 0.0000
-2.0405 -2.0405 3.7751
Br Si W
1 1 2
direct
0.5000 0.5000 0.0000
0.2500 0.7500 0.5000
0.0000 0.0000 0.0000
0.7500 0.2500 0.5000
```

Results
Space group: I-4m2
DOS at the Fermi energy: 0.610 states/eV/atom
Crystal system: tetragonal

--- b ---
# SiW2Br

A geometry-optimized SiW2Br structure (GGA-PBEsol, Alexandria via LeMat-Bulk).

POSCAR file:
```
SiW2Br
1.0
2.8741 -0.0004 0.0000
-1.0897 2.6595 0.0000
0.0000 0.0000 8.4245
Br Si W
1 1 2
direct
0.5000 0.5000 0.5000
0.5000 0.5000 0.0000
0.0000 0.0000 0.2239
0.0000 0.0000 0.7761
```

Results
Space group: Cmmm
DOS at the Fermi energy: 0.848 states/eV/atom
Crystal system: orthorhombic

Relative energy table, unit eV/atom: a 0.138; b 0.000

--- a ---
# Si2WBr

A geometry-optimized Si2WBr structure (GGA-PBEsol, Alexandria via LeMat-Bulk).

POSCAR file:
```
Si2WBr
1.0
4.4379 0.0000 0.0000
2.2189 3.8433 0.0000
2.2189 1.2811 3.6235
Br Si W
1 2 1
direct
0.5000 0.5000 0.5000
0.0000 0.0000 0.0000
0.7500 0.7500 0.7500
0.2500 0.2500 0.2500
```

Results
Space group: F-43m
DOS at the Fermi energy: 0.701 states/eV/atom
Crystal system: cubic

--- b ---
# Si2WBr

A geometry-optimized Si2WBr structure (GGA-PBEsol, Alexandria via LeMat-Bulk).

POSCAR file:
```
Si2WBr
1.0
-4.0091 -4.3961 -0.4475
4.3825 -3.8783 -1.1626
0.3421 3.0998 6.2589
Si Br W
4 2 2
direct
0.3246 0.8750 0.2500
0.9254 0.3750 0.2500
0.1250 0.0746 0.7500
0.6250 0.6754 0.7500
0.7500 0.2500 0.5000
0.5000 0.5000 0.0000
0.2500 0.7500 0.5000
0.0000 0.0000 0.0000
```

Results
Space group: I-42d
DOS at the Fermi energy: 0.750 states/eV/atom
Crystal system: tetragonal

Relative energy table, unit eV/atom: a 0.000; b 0.173

--- a ---
# Zn2SiBr

A geometry-optimized Zn2SiBr structure (GGA-PBEsol, Alexandria via LeMat-Bulk).

POSCAR file:
```
Zn2SiBr
1.0
-1.2950 4.1122 1.9158
-3.1084 2.7644 -2.2258
-4.3553 0.5261 1.7357
Br Si Zn
1 1 2
direct
0.5000 0.5000 0.5000
0.7500 0.7500 0.7500
0.0000 0.0000 0.0000
0.2500 0.2500 0.2500
```

Results
Space group: F-43m
DOS at the Fermi energy: 0.575 states/eV/atom
Crystal system: cubic

--- b ---
# Zn2SiBr

A geometry-optimized Zn2SiBr structure (GGA-PBEsol, Alexandria via LeMat-Bulk).

POSCAR file:
```
Zn2SiBr
1.0
-2.7287 -2.2579 -0.4272
-1.2823 -1.7985 2.8013
-5.7242 3.7142 2.0358
Br Si Zn
1 1 2
direct
0.5000 0.5000 0.5000
0.0000 0.0000 0.0000
0.2622 0.2622 0.2133
0.7378 0.7378 0.7867
```

Results
Space group: R-3m
DOS at the Fermi energy: 0.227 states/eV/atom
Crystal system: trigonal

Relative energy table, unit eV/atom: a 0.506; b 0.000

--- a ---
# ZrSiBr2

A geometry-optimized ZrSiBr2 structure (GGA-PBEsol, Alexandria via LeMat-Bulk).

POSCAR file:
```
ZrSiBr2
1.0
-0.7970 2.0903 -2.4202
-3.1153 1.0219 -0.3355
0.4478 8.2267 4.7138
Br Si Zr
2 1 1
direct
0.2632 0.2632 0.2104
0.7368 0.7368 0.7896
0.5000 0.5000 0.5000
0.0000 0.0000 0.0000
```

Results
Space group: R-3m
DOS at the Fermi energy: 0.422 states/eV/atom
Crystal system: trigonal

--- b ---
# ZrSiBr2

A geometry-optimized ZrSiBr2 structure (GGA-PBEsol, Alexandria via LeMat-Bulk).

POSCAR file:
```
ZrSiBr2
1.0
-1.5660 2.2263 1.9119
-1.0884 -3.9058 3.4087
5.3786 1.7162 -0.3624
Br Si Zr
2 1 1
direct
0.0000 0.0000 0.5000
0.5000 0.5000 0.5000
0.0000 0.0000 0.0000
0.5000 0.5000 0.0000
```

Results
Space group: C2/m
DOS at the Fermi energy: 0.362 states/eV/atom
Crystal system: monoclinic

--- c ---
# ZrSiBr2

A geometry-optimized ZrSiBr2 structure (GGA-PBEsol, Alexandria via LeMat-Bulk).

POSCAR file:
```
ZrSiBr2
1.0
-2.9001 1.4866 0.5167
-1.5035 -1.3927 -4.4320
-1.7761 -4.1285 1.9089
Br Si Zr
2 1 1
direct
0.0000 0.5000 0.0000
0.0000 0.0000 0.5000
0.5000 0.0000 0.0000
0.5000 0.5000 0.5000
```

Results
Space group: Cmmm
DOS at the Fermi energy: 0.881 states/eV/atom
Crystal system: orthorhombic

Relative energy table, unit eV/atom: a 0.000; b 0.233; c 0.477

--- a ---
# Sr3Br

A geometry-optimized Sr3Br structure (GGA-PBEsol, Alexandria via LeMat-Bulk).

POSCAR file:
```
Sr3Br
1.0
-3.9703 0.7457 0.0716
0.2051 -6.5103 3.1842
2.4915 5.5953 3.8796
Sr Br
3 1
direct
0.5000 0.0000 0.5000
0.5000 0.5000 0.0000
0.0000 0.5000 0.5000
0.0000 0.0000 0.0000
```

Results
Space group: R-3m
DOS at the Fermi energy: 0.643 states/eV/atom
Crystal system: trigonal

--- b ---
# Sr3Br

A geometry-optimized Sr3Br structure (GGA-PBEsol, Alexandria via LeMat-Bulk).

POSCAR file:
```
Sr3Br
1.0
-1.5702 -2.7953 2.6018
2.2913 -1.2246 -3.2091
9.4490 0.7172 6.4730
Sr Br
3 1
direct
0.0000 0.0000 0.5000
0.3333 0.6667 0.7950
0.3333 0.6667 0.2050
0.0000 0.0000 0.0000
```

Results
Space group: P-6m2
DOS at the Fermi energy: 0.870 states/eV/atom
Crystal system: hexagonal

Relative energy table, unit eV/atom: a 0.304; b 0.000

--- a ---
# Sr3Br

A geometry-optimized Sr3Br structure (GGA-PBEsol, Alexandria via LeMat-Bulk).

POSCAR file:
```
Sr3Br
1.0
-4.4589 2.4044 -2.4479
-3.3813 -3.7613 2.4646
-0.5832 3.4244 4.4259
Sr Br
3 1
direct
0.0000 0.5000 0.5000
0.5000 0.0000 0.5000
0.5000 0.5000 0.0000
0.0000 0.0000 0.0000
```

Results
Space group: Pm-3m
DOS at the Fermi energy: 0.774 states/eV/atom
Crystal system: cubic

--- b ---
# Sr3Br

A geometry-optimized Sr3Br structure (GGA-PBEsol, Alexandria via LeMat-Bulk).

POSCAR file:
```
Sr3Br
1.0
-4.1008 -0.0474 0.5128
-2.4894 -0.3296 -3.2827
-1.9471 -11.4598 0.0253
Sr Br
3 1
direct
0.7336 0.7336 0.7992
0.5000 0.5000 0.5000
0.2664 0.2664 0.2008
0.0000 0.0000 0.0000
```

Results
Space group: R-3m
DOS at the Fermi energy: 0.939 states/eV/atom
Crystal system: trigonal

Relative energy table, unit eV/atom: a 0.416; b 0.000